1.
Compound: NdAl2Au6
Source: Alexandria
Functional: PBE-GGA
Structure: optimized geometry

a b c (Å): 8.3668 8.3668 8.3668
angles (deg): 60.00 60.00 60.00
Element x y z (fractional)
1 Nd 0.5000 0.5000 0.5000
2 Nd 0.7500 0.7500 0.7500
3 Al 0.1250 0.1250 0.1250
4 Al 0.1250 0.6250 0.1250
5 Al 0.1250 0.1250 0.6250
6 Al 0.6250 0.1250 0.1250
7 Au 0.2455 0.2455 0.7545
8 Au 0.7545 0.7545 0.2455
9 Au 0.2455 0.7545 0.2455
10 Au 0.2455 0.7545 0.7545
11 Au 0.4955 0.4955 0.0045
12 Au 0.4955 0.0045 0.0045
13 Au 0.7545 0.2455 0.7545
14 Au 0.0045 0.0045 0.4955
15 Au 0.4955 0.0045 0.4955
16 Au 0.0045 0.4955 0.4955
17 Au 0.7545 0.2455 0.2455
18 Au 0.0045 0.4955 0.0045

## Properties
Polymorph energy (0 for the lowest one) (eV/f.u.): 1.61
Space-group type: No. 227
DOS(E_F) (states/eV per cell): 11.37
E_tot (eV per atom): -3.75
Formation energy (eV per atom): -0.21

---

2.
Compound: Ti2Tc2Bi
Source: Alexandria
Functional: PBE-GGA
Structure: optimized geometry

a b c (Å): 7.4910 7.4910 3.1781
angles (deg): 90.00 90.00 90.00
Element x y z (fractional)
1 Ti 0.1448 0.6448 0.5000
2 Ti 0.6448 0.8552 0.5000
3 Ti 0.8552 0.3552 0.5000
4 Ti 0.3552 0.1448 0.5000
5 Bi 0.0000 0.0000 0.0000
6 Bi 0.5000 0.5000 0.0000
7 Tc 0.3606 0.8606 0.0000
8 Tc 0.8606 0.6394 0.0000
9 Tc 0.6394 0.1394 0.0000
10 Tc 0.1394 0.3606 0.0000

## Properties
Space-group type: No. 127
DOS(E_F) (states/eV per cell): 16.28
E_tot (eV per atom): -7.96
Formation energy (eV per atom): 0.12

---

3.
Compound: SrBi3F
Source: Alexandria
Functional: PBE-GGA
Structure: optimized geometry

a b c (Å): 6.1465 6.1465 6.1465
angles (deg): 90.00 90.00 90.00
Element x y z (fractional)
1 Sr 0.0000 0.0000 0.0000
2 Bi 0.0000 0.5000 0.0000
3 Bi 0.0000 0.0000 0.5000
4 Bi 0.5000 0.0000 0.0000
5 F 0.5000 0.5000 0.5000

## Properties
Polymorph energy (0 for the lowest one) (eV/f.u.): 6.29
Space-group type: No. 221
DOS(E_F) (states/eV per cell): 6.11
E_tot (eV per atom): -2.55
Raw formation energy (kcal/mol of atoms): 11.3

---

4.
Compound: Tl2InGeCl6
Source: Alexandria
Functional: PBE-GGA
Structure: optimized geometry

a b c (Å): 7.5952 7.5952 7.6077
angles (deg): 120.07 120.06 89.95
Element x y z (fractional)
1 Tl 0.8012 0.3002 0.6033
2 Tl 0.2996 0.8013 0.6033
3 In 0.9975 0.9980 0.9947
4 Ge 0.4978 0.4983 0.9948
5 Cl 0.7278 0.7284 0.9637
6 Cl 0.7339 0.7342 0.4647
7 Cl 0.2360 0.2364 0.9632
8 Cl 0.7281 0.2368 0.9637
9 Cl 0.2407 0.2415 0.4826
10 Cl 0.2364 0.7288 0.9641

## Properties
Space-group type: No. 8
DOS(E_F) (states/eV per cell): 3.06
E_tot (eV per atom): -3.22
Raw formation energy (kcal/mol of atoms): -20.9

---

5.
Compound: AcLa2Ho4
Source: Alexandria
Functional: PBE-GGA
Structure: optimized geometry

a b c (Å): 4.6452 4.6452 12.1920
angles (deg): 100.98 100.98 90.00
Element x y z (fractional)
1 Ac 0.0000 0.0000 0.0000
2 La 0.6073 0.6073 0.2145
3 La 0.3927 0.3927 0.7855
4 Ho 0.1449 0.1449 0.2897
5 Ho 0.8551 0.8551 0.7103
6 Ho 0.7500 0.2500 0.5000
7 Ho 0.2500 0.7500 0.5000

## Properties
Polymorph energy (0 for the lowest one) (eV/f.u.): 0.09
Space-group type: No. 139
DOS(E_F) (states/eV per cell): 12.71
E_tot (eV per atom): -4.39
Formation energy (eV per atom): 0.22

---

6.
Compound: Tb2DyMg9
Source: Alexandria
Functional: PBE-GGA
Structure: optimized geometry

a b c (Å): 6.0388 6.0388 10.3151
angles (deg): 72.98 72.98 60.00
Element x y z (fractional)
1 Tb 0.8575 0.8575 0.4274
2 Tb 0.1425 0.1425 0.5726
3 Dy 0.0000 0.0000 0.0000
4 Mg 0.6659 0.6659 0.0022
5 Mg 0.3341 0.3341 0.9978
6 Mg 0.5000 0.5000 0.5000
7 Mg 0.4137 0.4137 0.2517
8 Mg 0.9209 0.4137 0.2517
9 Mg 0.4137 0.9209 0.2517
10 Mg 0.5863 0.5863 0.7483
11 Mg 0.5863 0.0791 0.7483
12 Mg 0.0791 0.5863 0.7483

## Properties
Space-group type: No. 166
DOS(E_F) (states/eV per cell): 11.44
E_tot (eV per atom): -2.38
Formation energy (eV per atom): -0.03

---

7.
Compound: Er2HfSc4
Source: Alexandria
Functional: PBE-GGA
Structure: optimized geometry

a b c (Å): 3.3479 3.3476 18.6187
angles (deg): 95.15 90.00 120.00
Element x y z (fractional)
1 Er 0.6178 0.2356 0.0910
2 Er 0.7168 0.4337 0.3854
3 Hf 0.8102 0.6204 0.6696
4 Sc 0.9014 0.8029 0.9432
5 Sc 0.4331 0.8662 0.5373
6 Sc 0.0010 0.0020 0.2385
7 Sc 0.5210 0.0421 0.8031

## Properties
Polymorph energy (0 for the lowest one) (eV/f.u.): 0.00
Space-group type: No. 8
DOS(E_F) (states/eV per cell): 11.46
E_tot (eV per atom): -6.31
Formation energy (eV per atom): 0.03

---

8.
Compound: Zr12UBi6
Source: Alexandria
Functional: PBE-GGA
Structure: optimized geometry

a b c (Å): 8.1823 8.1823 8.1823
angles (deg): 102.61 102.61 102.61
Element x y z (fractional)
1 Zr 0.7818 0.6069 0.4990
2 Zr 0.4990 0.7818 0.6069
3 Zr 0.6069 0.4990 0.7818
4 Zr 0.2182 0.3931 0.5010
5 Zr 0.5010 0.2182 0.3931
6 Zr 0.3931 0.5010 0.2182
7 Zr 0.0363 0.9940 0.3192
8 Zr 0.0060 0.6808 0.9637
9 Zr 0.6808 0.9637 0.0060
10 Zr 0.9637 0.0060 0.6808
11 Zr 0.9940 0.3192 0.0363
12 Zr 0.3192 0.0363 0.9940
13 U 0.0000 0.0000 0.0000
14 Bi 0.6511 0.8932 0.3403
15 Bi 0.6597 0.3489 0.1068
16 Bi 0.1068 0.6597 0.3489
17 Bi 0.3489 0.1068 0.6597
18 Bi 0.3403 0.6511 0.8932
19 Bi 0.8932 0.3403 0.6511

## Properties
Space-group type: No. 148
DOS(E_F) (states/eV per cell): 24.04
E_tot (eV per atom): -7.11
Formation energy (eV per atom): 0.11

---

9.
Compound: MnBeRh2
Source: Alexandria
Functional: PBE-GGA
Structure: optimized geometry

a b c (Å): 4.6869 4.6869 4.6869
angles (deg): 135.32 135.32 65.04
Element x y z (fractional)
1 Be 0.5000 0.5000 0.0000
2 Mn 0.7500 0.2500 0.5000
3 Rh 0.0000 0.0000 0.0000
4 Rh 0.2500 0.7500 0.5000

## Properties
Space-group type: No. 119
DOS(E_F) (states/eV per cell): 2.09
E_tot (eV per atom): -7.12
Formation energy (eV per atom): -0.22

---

10.
Compound: Li2In2HPd4
Source: Alexandria
Functional: PBE-GGA
Structure: optimized geometry

a b c (Å): 5.6260 5.6260 5.6260
angles (deg): 93.40 118.06 118.06
Element x y z (fractional)
1 Li 0.0000 0.7342 0.7342
2 Li 0.0000 0.2658 0.2658
3 In 0.5000 0.7500 0.2500
4 In 0.5000 0.2500 0.7500
5 H 0.0000 0.0000 0.0000
6 Pd 0.0000 0.7536 0.2464
7 Pd 0.5072 0.7536 0.7536
8 Pd 0.0000 0.2464 0.7536
9 Pd 0.4928 0.2464 0.2464

## Properties
Space-group type: No. 139
DOS(E_F) (states/eV per cell): 0.45
E_tot (eV per atom): -4.26

---

11.
Compound: Ac2HgGe3
Source: Alexandria
Functional: PBE-GGA
Structure: optimized geometry

a b c (Å): 4.4809 4.6759 7.7835
angles (deg): 90.00 90.00 90.00
Element x y z (fractional)
1 Ac 0.0000 0.5000 0.9920
2 Ac 0.0000 0.0000 0.5088
3 Hg 0.5000 0.5000 0.3342
4 Ge 0.5000 0.0000 0.8278
5 Ge 0.5000 0.0000 0.1573
6 Ge 0.5000 0.5000 0.6801

## Properties
Polymorph energy (0 for the lowest one) (eV/f.u.): 0.15
Space-group type: No. 25
DOS(E_F) (states/eV per cell): 2.73
E_tot (eV per atom): -4.31
Formation energy (eV per atom): -0.58

---

12.
Compound: MnGa2W2
Source: Alexandria
Functional: PBE-GGA
Structure: optimized geometry

a b c (Å): 6.4913 6.4913 3.5674
angles (deg): 90.00 90.00 90.00
Element x y z (fractional)
1 Mn 0.0000 0.0000 0.0000
2 Mn 0.5000 0.5000 0.0000
3 Ga 0.3675 0.8675 0.0000
4 Ga 0.8675 0.6325 0.0000
5 Ga 0.6325 0.1325 0.0000
6 Ga 0.1325 0.3675 0.0000
7 W 0.1718 0.6718 0.5000
8 W 0.6718 0.8282 0.5000
9 W 0.8282 0.3282 0.5000
10 W 0.3282 0.1718 0.5000

## Properties
Space-group type: No. 127
DOS(E_F) (states/eV per cell): 5.19
E_tot (eV per atom): -7.96
Formation energy (eV per atom): 0.27